# CsRbBa2Cu

Crystalline CsRbBa2Cu at its relaxed geometry (PBE, Alexandria).

Unit cell a=7.1265 b=7.0474 c=7.1265 alpha=90.00 beta=90.00 gamma=90.00
Closest atoms and distances in Å follow each position.
Element x y z (fractional)
1 Cs 0.0000 0.0000 0.0000  2 Rb 3.52, 4 Ba 3.56
2 Cu 0.5000 0.5000 0.5000  8 Ba 5.01, 4 Rb 5.04
3 Ba 0.5000 0.0000 0.0000  2 Cs 3.56
4 Rb 0.0000 0.5000 0.0000  2 Cs 3.52
5 Ba 0.0000 0.0000 0.5000  2 Cs 3.56

Properties
Fermi-level density of states   1.08 states/eV per atom
ΔH_f (0 K)   5.27 eV per formula unit
E above lowest polymorph   910 meV per atom
Space group   No. 123

=====

# K2CuSb

Crystalline K2CuSb at its relaxed geometry (PBE, Alexandria).

Unit cell a=6.6469 b=6.6469 c=6.2968 alpha=90.00 beta=90.00 gamma=106.38
Closest atoms and distances in Å follow each position.
Element x y z (fractional)
1 Cu 0.5000 0.5000 0.5000  2 Sb 2.53
2 Cu 0.5000 0.5000 0.0000  2 Sb 2.53
3 K 0.3255 0.9878 0.7500  5 K 3.59-4.02, 4 Sb 3.60-3.71, 2 Cu 3.63
4 K 0.0122 0.6745 0.2500  5 K 3.59-4.02, 4 Sb 3.60-3.71, 2 Cu 3.63
5 K 0.9878 0.3255 0.7500  5 K 3.59-4.02, 4 Sb 3.60-3.71, 2 Cu 3.63
6 Sb 0.2515 0.2515 0.2500  2 Cu 2.53
7 K 0.6745 0.0122 0.2500  5 K 3.59-4.02, 4 Sb 3.60-3.71, 2 Cu 3.63
8 Sb 0.7485 0.7485 0.7500  2 Cu 2.53

Properties
Energy relative to the elements, uncorrected   -1.29 eV per formula unit
Space group   No. 63

=====

# ErTm2Ni2

Crystalline ErTm2Ni2 at its relaxed geometry (PBE, Alexandria).

Unit cell a=3.6629 b=6.7841 c=9.2984 alpha=90.00 beta=90.00 gamma=105.66
Closest atoms and distances in Å follow each position.
Element x y z (fractional)
1 Ni 0.0287 0.0574 0.3660  4 Tm 2.68-2.78, 2 Er 2.76
2 Ni 0.2377 0.4755 0.1377  5 Tm 2.75-2.89, 2 Er 2.90
3 Ni 0.9713 0.9426 0.8660  4 Tm 2.68-2.78, 2 Er 2.76
4 Tm 0.6784 0.3568 0.3496  5 Ni 2.68-2.89
5 Ni 0.7623 0.5245 0.6377  5 Tm 2.75-2.89, 2 Er 2.90
6 Tm 0.8947 0.7893 0.1454  4 Ni 2.70-2.78
7 Tm 0.1053 0.2107 0.6454  4 Ni 2.70-2.78
8 Er 0.6035 0.2069 0.9866  4 Ni 2.76-2.90
9 Tm 0.3216 0.6432 0.8496  5 Ni 2.68-2.89
10 Er 0.3965 0.7931 0.4866  4 Ni 2.76-2.90

Properties
Fermi-level density of states   0.79 states/eV per atom
ΔH_f (0 K)   -1.60 eV per formula unit
E above lowest polymorph   3 meV per atom
Space group   No. 36

=====

# PmTmZr2

Crystalline PmTmZr2 at its relaxed geometry (PBE, Alexandria).

Unit cell a=3.9368 b=3.9368 c=6.9426 alpha=90.00 beta=90.00 gamma=90.00
Closest atoms and distances in Å follow each position.
Element x y z (fractional)
1 Tm 0.5000 0.5000 0.5000  8 Zr 3.19, 2 Pm 3.47
2 Zr 0.0000 0.0000 0.2760  1 Zr 3.11, 4 Tm 3.19, 4 Pm 3.38
3 Pm 0.5000 0.5000 0.0000  8 Zr 3.38, 2 Tm 3.47
4 Zr 0.0000 0.0000 0.7240  1 Zr 3.11, 4 Tm 3.19, 4 Pm 3.38

Properties
Fermi-level density of states   1.36 states/eV per atom
ΔH_f (0 K)   0.88 eV per formula unit
E above lowest polymorph   82 meV per atom
Space group   No. 123

=====

# Tb4Nd5In

Crystalline Tb4Nd5In at its relaxed geometry (PBE, Alexandria).

Unit cell a=6.0121 b=8.1154 c=8.1154 alpha=82.11 beta=68.26 gamma=68.26
Closest atoms and distances in Å follow each position.
Element x y z (fractional)
1 Tb 0.1422 0.3168 0.3169  3 Nd 3.33-3.61
2 Nd 0.7646 0.3755 0.9999  1 In 3.18, 3 Nd 3.29-3.54, 2 Tb 3.33
3 Nd 0.6721 0.0000 0.0000  2 In 2.88-3.13
4 Nd 0.1400 0.9999 0.6245  1 In 3.18, 3 Nd 3.29-3.54, 2 Tb 3.33
5 Nd 0.7645 0.0001 0.3755  1 In 3.18, 3 Nd 3.29-3.54, 2 Tb 3.33
6 Tb 0.4592 0.6831 0.3168  3 Nd 3.33-3.61
7 In 0.1927 0.0000 0.0000  6 Nd 2.88-3.18
8 Tb 0.4590 0.3169 0.6832  3 Nd 3.33-3.61
9 Tb 0.7760 0.6832 0.6831  3 Nd 3.33-3.61
10 Nd 0.1399 0.6245 0.0001  1 In 3.18, 3 Nd 3.29-3.54, 2 Tb 3.33

Properties
Fermi-level density of states   1.34 states/eV per atom
ΔH_f (0 K)   1.32 eV per formula unit
E above lowest polymorph   137 meV per atom
Space group   No. 107

=====

# Li2Pd3Pb2

Crystalline Li2Pd3Pb2 at its relaxed geometry (PBE, Alexandria).

Unit cell a=3.2509 b=6.6611 c=6.6006 alpha=113.10 beta=104.26 gamma=90.00
Closest atoms and distances in Å follow each position.
Element x y z (fractional)
1 Pd 0.0000 0.0000 0.0000  2 Li 2.56
2 Li 0.0968 0.4194 0.1937  4 Pd 2.56-2.58
3 Pd 0.2964 0.7328 0.5928  3 Li 2.56-2.58, 1 Pb 2.82
4 Pd 0.7036 0.2672 0.4072  3 Li 2.56-2.58, 1 Pb 2.82
5 Pb 0.3774 0.1939 0.7547  5 Pd 2.82-2.95, 4 Li 2.95-3.06
6 Pb 0.6226 0.8061 0.2453  5 Pd 2.82-2.95, 4 Li 2.95-3.06
7 Li 0.9032 0.5806 0.8063  4 Pd 2.56-2.58

Properties
Fermi-level density of states   0.31 states/eV per atom
ΔH_f (0 K)   -1.74 eV per formula unit
E above lowest polymorph   128 meV per atom
Space group   No. 12

=====

# PaCdRu

Crystalline PaCdRu at its relaxed geometry (PBE, Alexandria).

Unit cell a=3.7566 b=3.7566 c=11.4715 alpha=113.78 beta=113.78 gamma=89.94
Closest atoms and distances in Å follow each position.
Element x y z (fractional)
1 Pa 0.6528 0.6528 0.8251  4 Ru 2.65-2.72
2 Cd 0.1605 0.1605 0.4272  1 Ru 2.76, 4 Cd 2.99
3 Pa 0.3472 0.3472 0.1749  4 Ru 2.65-2.72
4 Ru 0.2092 0.2092 0.8658  4 Pa 2.65-2.72, 1 Cd 2.76, 1 Ru 2.86
5 Cd 0.8395 0.8395 0.5728  1 Ru 2.76, 4 Cd 2.99
6 Ru 0.7908 0.7908 0.1342  4 Pa 2.65-2.72, 1 Cd 2.76, 1 Ru 2.86

Properties
Fermi-level density of states   0.56 states/eV per atom
ΔH_f (0 K)   -1.04 eV per formula unit
Space group   No. 12

=====

# ZrRh2W2

Crystalline ZrRh2W2 at its relaxed geometry (PBE, Alexandria).

Unit cell a=7.7741 b=7.7741 c=2.7837 alpha=90.00 beta=90.00 gamma=90.00
Closest atoms and distances in Å follow each position.
Element x y z (fractional)
1 Rh 0.3260 0.1740 0.5000  6 W 2.65-2.71, 2 Rh 2.78
2 W 0.1205 0.3795 0.0000  3 W 2.65-2.78, 6 Rh 2.65-2.71
3 Rh 0.8260 0.3260 0.5000  6 W 2.65-2.71, 2 Rh 2.78
4 Zr 0.5000 0.5000 0.0000  2 Zr 2.78, 4 W 3.10
5 Zr 0.0000 0.0000 0.0000  2 Zr 2.78, 4 W 3.10
6 W 0.6205 0.1205 0.0000  3 W 2.65-2.78, 6 Rh 2.65-2.71
7 Rh 0.1740 0.6740 0.5000  6 W 2.65-2.71, 2 Rh 2.78
8 Rh 0.6740 0.8260 0.5000  6 W 2.65-2.71, 2 Rh 2.78
9 W 0.8795 0.6205 0.0000  3 W 2.65-2.78, 6 Rh 2.65-2.71
10 W 0.3795 0.8795 0.0000  3 W 2.65-2.78, 6 Rh 2.65-2.71

Properties
Fermi-level density of states   1.08 states/eV per atom
ΔH_f (0 K)   -0.30 eV per formula unit
E above lowest polymorph   0 meV per atom
Space group   No. 127